Material: Na5LiFe2P2C2O14
Method: DFT, GGA+U
State: relaxed

Lattice parameters (Å, degrees): 8.9307 6.6566 10.4683 90.00 90.85 90.00
Sites, in units of the cell vectors:
Na1 0.0000 0.0038 0.0000
Na2 0.0000 0.9962 0.5000
Na3 0.1807 0.2479 0.2514
Na4 0.1807 0.7521 0.7514
Na5 0.1832 0.2457 0.7565
Na6 0.1832 0.7543 0.2565
Na7 0.6575 0.2418 0.5013
Na8 0.6575 0.7582 0.0013
Na9 0.8348 0.4906 0.2588
Na10 0.8348 0.5094 0.7588
Li1 0.6243 0.2951 0.9842
Li2 0.6243 0.7049 0.4842
Fe1 0.2701 0.4897 0.4891
Fe2 0.2701 0.5103 0.9891
Fe3 0.5708 0.0070 0.7693
Fe4 0.5708 0.9930 0.2693
P1 0.3389 0.0137 0.0292
P2 0.3389 0.9863 0.5292
P3 0.5057 0.4937 0.2337
P4 0.5057 0.5063 0.7337
C1 0.8628 0.0056 0.7436
C2 0.8628 0.9944 0.2436
C3 0.9692 0.4973 0.0145
C4 0.9692 0.5027 0.5145
O1 0.0070 0.9997 0.2332
O2 0.0070 0.0003 0.7332
O3 0.0366 0.4915 0.4047
O4 0.0366 0.5085 0.9047
O5 0.0510 0.4912 0.6187
O6 0.0510 0.5088 0.1187
O7 0.2357 0.1969 0.9956
O8 0.2357 0.8031 0.4956
O9 0.2510 0.1763 0.4827
O10 0.2510 0.8237 0.9827
O11 0.3493 0.4985 0.2951
O12 0.3493 0.5015 0.7951
O13 0.3600 0.0014 0.1771
O14 0.3600 0.9986 0.6771
O15 0.4879 0.4978 0.0845
O16 0.4879 0.5022 0.5845
O17 0.4938 0.0347 0.9659
O18 0.4938 0.9653 0.4659
O19 0.5967 0.3051 0.2748
O20 0.5967 0.6949 0.7748
O21 0.6017 0.3237 0.7808
O22 0.6017 0.6763 0.2808
O23 0.7768 0.0209 0.6427
O24 0.7768 0.9791 0.1427
O25 0.8011 0.0048 0.3554
O26 0.8011 0.9952 0.8554
O27 0.8251 0.4760 0.0196
O28 0.8251 0.5240 0.5196

Space group: No. 7
DOS at the Fermi energy in states/eV/cell: 0.00
Volume in Å³ per atom: 11.97
Energy above the lowest structure with this stoichiometry in meV/atom: 2
Mass density in g/cm³: 2.901